DFT (PBEsol) results for an optimized crystal structure of BaDyFe4O7.

Geometry as extended XYZ:
```
13
Lattice="-3.0994 3.0994 4.5332 3.0994 -3.0994 4.5332 3.0994 3.0994 -4.5332" Properties=species:S:1:pos:R:3 pbc="T T T"
Ba 0.0000 0.0000 0.0000
Dy 3.0994 0.0000 2.2666
Fe 2.9920 1.4373 -1.2357
Fe 1.6621 -0.1075 5.7689
Fe 0.1075 1.6621 3.2976
Fe 1.4373 3.2069 1.2357
O 3.0994 0.0000 0.0316
O 1.2628 -1.2321 2.0169
O 1.8366 4.3315 -2.5163
O 3.0994 0.0000 4.5017
O 0.0000 0.0000 4.5332
O 1.8673 1.8366 2.5163
O 1.2321 1.2628 7.0495
```

Output
Calculated volume ... 13.40 Å³ per atom
E_tot ... -102.83 eV/cell
Formation energy from raw total energies ... -1.78 eV per atom
Distance to the lowest polymorph of the same formula ... 10 meV/atom